Record 1
Computed, not measured: crystalline GdSeS at its relaxed geometry at the PBE level of DFT.

The structure in CIF format:
```
data_GdSeS
_cell_length_a 4.1845
_cell_length_b 4.1845
_cell_length_c 5.8099
_cell_angle_alpha 90.00
_cell_angle_beta 90.00
_cell_angle_gamma 120.00
_space_group_name_H-M_alt 'P 3 m 1'
_space_group_IT_number 156
loop_
_space_group_symop_operation_xyz
'x,y,z'
'-y,x-y,z'
'-x+y,-x,z'
'-y,-x,z'
'-x+y,y,z'
'x,x-y,z'
loop_
_atom_site_label
_atom_site_fract_x
_atom_site_fract_y
_atom_site_fract_z
Gd1 0.0000 0.0000 0.0000
Se1 0.6667 0.3333 0.7276
S1 0.3333 0.6667 0.2179
```

Output
ΔE_f (raw), meV/atom: -1306
Final energy, eV/cell: -25.61
Volume, Å³/cell: 88.1
E above lowest polymorph, meV per atom: 47

=====

Record 2
Computed, not measured: crystalline GdSeS at its relaxed geometry at the PBE level of DFT.

The structure in CIF format:
```
data_GdSeS
_cell_length_a 3.7400
_cell_length_b 3.7400
_cell_length_c 9.5224
_cell_angle_alpha 90.00
_cell_angle_beta 90.00
_cell_angle_gamma 90.00
_space_group_name_H-M_alt 'I 4 m m'
_space_group_IT_number 107
_space_group_name_Hall 'I 4 -2'
loop_
_atom_site_label
_atom_site_fract_x
_atom_site_fract_y
_atom_site_fract_z
Gd1 0.0000 0.0000 0.0000
Se1 0.0000 0.0000 0.3425
S1 0.0000 0.0000 0.6256
```

Output
ΔE_f (raw), meV/atom: -1354
Final energy, eV/cell: -51.51
Volume, Å³/cell: 133.2
E above lowest polymorph, meV per atom: 0

=====

Record 3
Computed, not measured: crystalline Gd4Si3S12 at its relaxed geometry at the PBE level of DFT.

The structure in CIF format:
```
data_Gd4Si3S12
_cell_length_a 10.0322
_cell_length_b 11.1607
_cell_length_c 17.3435
_cell_angle_alpha 90.00
_cell_angle_beta 110.71
_cell_angle_gamma 90.00
_space_group_name_H-M_alt 'P 1 21/c 1'
_space_group_IT_number 14
loop_
_space_group_symop_operation_xyz
'x,y,z'
'-x,-y,-z'
'-x,y+1/2,-z+1/2'
'x,-y+1/2,z+1/2'
loop_
_atom_site_label
_atom_site_fract_x
_atom_site_fract_y
_atom_site_fract_z
Gd1 0.0164 0.0195 0.1256
Gd2 0.1070 0.6269 0.1346
Gd3 0.3149 0.6498 0.9407
Gd4 0.4675 0.2409 0.2901
Si1 0.0237 0.2133 0.7333
Si2 0.2563 0.6193 0.5595
Si3 0.4002 0.0477 0.6194
S1 0.0656 0.5417 0.8130
S2 0.0967 0.7404 0.4865
S3 0.1038 0.2103 0.8636
S4 0.1571 0.6675 0.3124
S5 0.1834 0.0552 0.0266
S6 0.1854 0.2236 0.1913
S7 0.1961 0.0209 0.5268
S8 0.2656 0.6521 0.6833
S9 0.3839 0.5264 0.2300
S10 0.4467 0.0654 0.4065
S11 0.4554 0.6571 0.5512
S12 0.4773 0.2245 0.6288
```

Output
ΔE_f (raw), meV/atom: -1427
Final energy, eV/cell: -596.96
Volume, Å³/cell: 1816.4
E above lowest polymorph, meV per atom: 0

=====

Record 4
Computed, not measured: crystalline Gd3Si5S12 at its relaxed geometry at the PBE level of DFT.

The structure in CIF format:
```
data_Gd3Si5S12
_cell_length_a 14.9940
_cell_length_b 14.9940
_cell_length_c 14.9940
_cell_angle_alpha 90.00
_cell_angle_beta 90.00
_cell_angle_gamma 90.00
_space_group_name_H-M_alt 'I a -3 d'
_space_group_IT_number 230
_space_group_name_Hall '-I 4bd 2c 3'
loop_
_atom_site_label
_atom_site_fract_x
_atom_site_fract_y
_atom_site_fract_z
Gd1 0.0000 0.2500 0.1250
Si1 0.0000 0.0000 0.0000
Si2 0.0000 0.2500 0.3750
S1 0.0321 0.0572 0.6549
```

Output
ΔE_f (raw), meV/atom: -977
Final energy, eV/cell: -1107.37
Volume, Å³/cell: 3371.0

=====

- Which formula does entry 2 have?
  GdSeS